Entry from the Alexandria database: a relaxed structure of Na2DyMoPO8 (PBE+U).

Cell: 11.493 11.493 11.493 Å, 144.72 115.80 75.42°
Fractional positions:
Na  0.104  0.661  0.456
Na  0.205  0.161  0.057
Na  0.295  0.352  0.956
Na  0.396  0.852  0.557
Na  0.604  0.148  0.443
Na  0.705  0.648  0.044
Na  0.795  0.839  0.943
Na  0.896  0.339  0.544
Dy  0.178  0.750  0.928
Dy  0.322  0.250  0.572
Dy  0.678  0.750  0.428
Dy  0.822  0.250  0.072
Mo  0.072  0.822  0.250
Mo  0.428  0.678  0.750
Mo  0.572  0.322  0.250
Mo  0.928  0.178  0.750
P  0.069  0.250  0.319
P  0.431  0.750  0.181
P  0.569  0.250  0.819
P  0.931  0.750  0.681
O  0.061  0.329  0.254
O  0.075  0.829  0.768
O  0.102  0.192  0.831
O  0.105  0.670  0.017
O  0.139  0.729  0.331
O  0.141  0.417  0.573
O  0.153  0.088  0.483
O  0.156  0.083  0.224
O  0.344  0.568  0.927
O  0.347  0.830  0.935
O  0.359  0.932  0.276
O  0.361  0.692  0.590
O  0.395  0.412  0.565
O  0.398  0.229  0.090
O  0.425  0.193  0.754
O  0.439  0.693  0.268
O  0.561  0.307  0.732
O  0.575  0.807  0.246
O  0.602  0.771  0.910
O  0.605  0.588  0.435
O  0.639  0.308  0.410
O  0.641  0.068  0.724
O  0.653  0.170  0.065
O  0.656  0.432  0.073
O  0.844  0.917  0.776
O  0.847  0.912  0.517
O  0.859  0.583  0.427
O  0.861  0.271  0.669
O  0.895  0.330  0.983
O  0.898  0.808  0.169
O  0.925  0.171  0.232
O  0.939  0.671  0.746

Output
The crystal system is orthorhombic. The density comes out at 4.0 g cm⁻³. The size of the total moment is 0.000 μB per formula unit. The calculation puts the total energy at -6.96 eV per atom.